This record from the Alexandria database describes a relaxed RbTa2VO8 crystal. The functional is PBE with a Hubbard U.

## Properties
total magnetization = 0.000 μB/cell
DFT total energy = -8.30 eV/atom

Structure (POSCAR):
```
RbTa2VO8
1.0
5.7763 0.0000 0.0000
-2.8882 5.0025 0.0000
0.0000 0.0000 7.6709
Rb Ta V O
1 2 1 8
direct
0.0000 0.0000 0.5000
0.6667 0.3333 0.2184
0.3333 0.6667 0.7816
0.0000 0.0000 0.0000
0.1493 0.8433 0.8562
0.1567 0.3060 0.8562
0.6940 0.8507 0.8562
0.8507 0.1567 0.1438
0.8433 0.6940 0.1438
0.3060 0.1493 0.1438
0.6667 0.3333 0.4508
0.3333 0.6667 0.5492
```